A PBEsol-optimized structure of AlInS2, computed with meta-GGA SCAN.

```
AlInS2
1.0
-3.438 3.438 3.950
3.438 -3.438 3.950
3.438 3.438 -3.950
Al In S
2 2 4
Direct
0.000 0.000 0.000 Al
0.750 0.250 0.500 Al
0.250 0.750 0.500 In
0.500 0.500 0.000 In
0.033 0.125 0.408 S
0.375 0.967 0.092 S
0.717 0.625 0.592 S
0.875 0.283 0.908 S
```

## Properties
Space-group type = No. 122
Energy relative to the elements, uncorrected = -0.8556 eV/atom
Total magnetization = 0.00 μB/atom

---

A PBEsol-optimized structure of KSb2, computed with meta-GGA SCAN.

```
KSb2
1.0
4.721 0.000 0.000
-2.360 4.088 0.000
0.000 0.000 5.832
K Sb
1 2
Direct
0.000 0.000 0.000 K
0.333 0.667 0.407 Sb
0.667 0.333 0.593 Sb
```

## Properties
Space-group type = No. 164
Energy relative to the elements, uncorrected = -0.2520 eV/atom
Total magnetization = 0.00 μB/atom

---

A PBEsol-optimized structure of OsSe, computed with meta-GGA SCAN.

```
OsSe
1.0
1.483 0.856 3.945
-1.483 0.856 3.945
0.000 -1.713 3.945
Os Se
1 1
Direct
0.000 0.000 0.000 Os
0.500 0.500 0.500 Se
```

## Properties
Space-group type = No. 166
Energy relative to the elements, uncorrected = 0.7514 eV/atom
Total magnetization = 0.00 μB/atom

---

A PBEsol-optimized structure of Li5Ti6FeO16, computed with meta-GGA SCAN.

```
Li5Ti6FeO16
1.0
8.316 0.000 0.000
0.000 8.318 0.000
-0.005 0.000 8.328
Li Ti Fe O
10 12 2 32
Direct
0.002 0.000 0.248 Li
0.124 0.377 0.373 Li
0.252 0.758 0.496 Li
0.376 0.629 0.876 Li
0.496 0.005 0.746 Li
0.504 0.505 0.254 Li
0.624 0.129 0.124 Li
0.748 0.258 0.504 Li
0.876 0.877 0.627 Li
0.998 0.500 0.752 Li
0.115 0.128 0.608 Ti
0.136 0.625 0.127 Ti
0.136 0.864 0.863 Ti
0.362 0.390 0.617 Ti
0.377 0.873 0.122 Ti
0.380 0.136 0.377 Ti
0.620 0.636 0.623 Ti
0.623 0.373 0.878 Ti
0.638 0.890 0.383 Ti
0.864 0.125 0.873 Ti
0.864 0.364 0.137 Ti
0.885 0.628 0.392 Ti
0.246 0.251 0.999 Fe
0.754 0.751 0.001 Fe
0.107 0.627 0.355 O
0.113 0.391 0.116 O
0.116 0.119 0.870 O
0.125 0.645 0.890 O
0.125 0.896 0.644 O
0.141 0.127 0.390 O
0.141 0.361 0.627 O
0.141 0.862 0.113 O
0.359 0.643 0.125 O
0.361 0.880 0.894 O
0.362 0.142 0.608 O
0.368 0.119 0.137 O
0.375 0.363 0.391 O
0.386 0.371 0.867 O
0.389 0.613 0.628 O
0.392 0.895 0.356 O
0.608 0.395 0.644 O
0.611 0.113 0.372 O
0.614 0.871 0.133 O
0.625 0.863 0.609 O
0.632 0.619 0.863 O
0.638 0.642 0.392 O
0.639 0.380 0.106 O
0.641 0.143 0.875 O
0.859 0.362 0.887 O
0.859 0.627 0.610 O
0.859 0.861 0.373 O
0.875 0.145 0.110 O
0.875 0.396 0.356 O
0.884 0.619 0.130 O
0.887 0.891 0.884 O
0.893 0.127 0.645 O
```

## Properties
Energy above the most stable polymorph in this dataset = 0 meV/atom
Space-group type = No. 4
Energy relative to the elements, uncorrected = -2.9498 eV/atom
Total magnetization = 0.18 μB/atom

---

A PBEsol-optimized structure of Ce3Al4Si6, computed with meta-GGA SCAN.

```
Ce3Al4Si6
1.0
4.130 0.000 0.000
-2.065 3.577 0.000
0.000 0.000 17.473
Ce Al Si
3 4 6
Direct
0.000 0.000 0.000 Ce
0.000 0.000 0.391 Ce
0.000 0.000 0.609 Ce
0.333 0.667 0.247 Al
0.333 0.667 0.860 Al
0.667 0.333 0.140 Al
0.667 0.333 0.753 Al
0.333 0.667 0.101 Si
0.333 0.667 0.498 Si
0.333 0.667 0.714 Si
0.667 0.333 0.286 Si
0.667 0.333 0.502 Si
0.667 0.333 0.899 Si
```

## Properties
Space-group type = No. 164
Energy relative to the elements, uncorrected = -0.4356 eV/atom
Total magnetization = 0.21 μB/atom

---

A PBEsol-optimized structure of SrLa3Se, computed with meta-GGA SCAN.

```
SrLa3Se
1.0
5.777 0.000 0.000
0.000 5.777 0.000
0.000 0.000 5.777
Sr La Se
1 3 1
Direct
0.000 0.000 0.000 Sr
0.000 0.500 0.500 La
0.500 0.000 0.500 La
0.500 0.500 0.000 La
0.500 0.500 0.500 Se
```

## Properties
Space-group type = No. 221
Energy relative to the elements, uncorrected = -0.6812 eV/atom
Total magnetization = 0.00 μB/atom

---

Question: What is the total magnetization in the sixth record?
Answer: 0.00 μB/atom